No. 1
Here is crystalline Li2Tl2RuO6 at its relaxed geometry from Alexandria. Energies are from PBE.

abc: 5.842 5.842 6.172
angles: 61.75 61.75 60.00
Sites, in units of the cell vectors:
Tl 0.211 0.211 0.368
Li 0.593 0.593 0.221
Li 0.407 0.407 0.779
Tl 0.789 0.789 0.632
O 0.774 0.223 0.779
O 0.777 0.777 0.221
O 0.223 0.774 0.779
Ru 0.000 0.000 0.000
O 0.777 0.226 0.221
O 0.226 0.777 0.221
O 0.223 0.223 0.779

Calculated values
Formation energy from raw total energies   -0.97 eV/atom
Size of the total moment   0.0000 μB per atom
Symmetry   R-3m (166)

No. 2
Here is crystalline KLaRu2 at its relaxed geometry from Alexandria. Energies are from PBE.

abc: 3.142 3.142 9.808
angles: 90.00 90.00 115.32
Sites, in units of the cell vectors:
K 0.500 0.500 0.250
Ru 0.000 0.000 0.964
Ru 0.000 0.000 0.536
La 0.500 0.500 0.750

Calculated values
Energy above the lowest structure with this stoichiometry   435 meV/atom
Size of the total moment   0.0001 μB per atom
Calculated formation energy   721 meV/atom
Symmetry   Cmmm (65)

No. 3
Here is crystalline AcUAl2O8 at its relaxed geometry from Alexandria. Energies are from PBE.

abc: 4.533 4.831 7.532
angles: 95.24 90.81 85.14
Sites, in units of the cell vectors:
O 0.192 0.760 0.782
U 0.000 0.000 0.000
O 0.582 0.690 0.420
Ac 0.000 0.000 0.500
Al 0.475 0.463 0.811
O 0.418 0.310 0.580
Al 0.525 0.537 0.189
O 0.808 0.240 0.218
O 0.175 0.780 0.198
O 0.337 0.301 0.007
O 0.663 0.699 0.993
O 0.825 0.220 0.802

Calculated values
Formation energy from raw total energies   -2.83 eV/atom
Size of the total moment   0.0841 μB per atom
Symmetry   P-1 (2)

No. 4
Here is crystalline PmPrSmTl at its relaxed geometry from Alexandria. Energies are from PBE.

abc: 5.620 5.620 5.620
angles: 60.00 60.00 60.00
Sites, in units of the cell vectors:
Tl 0.000 0.000 0.000
Sm 0.500 0.500 0.500
Pm 0.250 0.250 0.250
Pr 0.750 0.750 0.750

Calculated values
Energy above the lowest structure with this stoichiometry   143 meV/atom
Size of the total moment   0.3573 μB per atom
Calculated formation energy   -57 meV/atom
Symmetry   F-43m (216)

No. 5
Here is crystalline ScTaOs2Se at its relaxed geometry from Alexandria. Energies are from PBE.

abc: 4.786 4.890 4.786
angles: 90.00 90.00 90.00
Sites, in units of the cell vectors:
Os 0.500 0.000 0.000
Os 0.000 0.000 0.500
Sc 0.500 0.500 0.500
Ta 0.000 0.000 0.000
Se 0.000 0.500 0.000

Calculated values
Energy above the lowest structure with this stoichiometry   0 meV/atom
Formation energy from raw total energies   1.04 eV/atom
Size of the total moment   0.0000 μB per atom
Symmetry   P4/mmm (123)

No. 6
Here is crystalline Ce2Ni7Ge at its relaxed geometry from Alexandria. Energies are from PBE.

abc: 3.784 3.784 10.610
angles: 90.00 90.00 90.00
Sites, in units of the cell vectors:
Ni 0.000 0.500 0.642
Ge 0.500 0.500 0.000
Ni 0.500 0.500 0.500
Ni 0.000 0.000 0.000
Ni 0.500 0.000 0.138
Ce 0.000 0.500 0.268
Ni 0.500 0.000 0.358
Ce 0.500 0.000 0.732
Ni 0.000 0.500 0.862
Ni 0.000 0.000 0.500

Calculated values
Size of the total moment   0.0000 μB per atom
Calculated formation energy   -305 meV/atom
Symmetry   P-4m2 (115)

No. 7
Here is crystalline Sm2DyErTm at its relaxed geometry from Alexandria. Energies are from PBE.

abc: 7.231 8.378 7.080
angles: 126.27 90.00 90.00
Sites, in units of the cell vectors:
Er 0.750 0.274 0.549
Dy 0.750 0.727 0.453
Sm 0.500 0.306 0.000
Sm 0.500 0.694 0.000
Er 0.250 0.726 0.451
Dy 0.250 0.273 0.547
Tm 0.750 0.000 0.000
Sm 0.000 0.694 0.000
Sm 0.000 0.306 0.000
Tm 0.250 0.000 0.000

Calculated values
Size of the total moment   0.0000 μB per atom
Calculated formation energy   417 meV/atom
Symmetry   Cmcm (63)

No. 8
Here is crystalline Dy2Tm2Sc at its relaxed geometry from Alexandria. Energies are from PBE.

abc: 4.910 5.994 10.943
angles: 89.99 90.03 114.18
Sites, in units of the cell vectors:
Tm 0.550 0.099 0.848
Dy 0.152 0.303 0.050
Sc 0.750 0.501 0.251
Dy 0.848 0.697 0.950
Tm 0.450 0.901 0.152
Tm 0.348 0.697 0.450
Dy 0.050 0.099 0.349
Sc 0.250 0.499 0.749
Tm 0.652 0.303 0.550
Dy 0.950 0.901 0.651

Calculated values
Energy above the lowest structure with this stoichiometry   0 meV/atom
Size of the total moment   0.0000 μB per atom
Calculated formation energy   40 meV/atom
Symmetry   C2/m (12)

No. 9
Here is crystalline PtSe2F at its relaxed geometry from Alexandria. Energies are from PBE.

abc: 6.479 6.479 6.085
angles: 57.83 57.83 90.00
Sites, in units of the cell vectors:
F 0.500 0.500 0.000
Se 0.650 0.125 0.250
Se 0.100 0.625 0.250
Pt 0.750 0.250 0.500
Se 0.375 0.350 0.750
F 0.250 0.750 0.500
Pt 0.000 0.000 0.000
Se 0.875 0.900 0.750

Calculated values
Energy above the lowest structure with this stoichiometry   481 meV/atom
Formation energy from raw total energies   -0.24 eV/atom
Size of the total moment   0.0000 μB per atom
Symmetry   I-42d (122)

No. 10
Here is crystalline Tl3Cd2SbO6 at its relaxed geometry from Alexandria. Energies are from PBE.

abc: 5.948 5.948 6.672
angles: 97.47 97.47 120.46
Sites, in units of the cell vectors:
O 0.938 0.652 0.834
O 0.778 0.778 0.194
Tl 0.170 0.830 0.500
Tl 0.500 0.500 0.500
Cd 0.667 0.333 0.000
O 0.062 0.348 0.166
Sb 0.000 0.000 0.000
O 0.652 0.938 0.834
Tl 0.830 0.170 0.500
Cd 0.333 0.667 0.000
O 0.222 0.222 0.806
O 0.348 0.062 0.166

Calculated values
Formation energy from raw total energies   -1.01 eV/atom
Size of the total moment   0.0000 μB per atom
Symmetry   C2/m (12)

No. 11
Here is crystalline TlGa2P2 at its relaxed geometry from Alexandria. Energies are from PBE.

abc: 4.142 4.142 7.378
angles: 73.70 73.70 90.00
Sites, in units of the cell vectors:
Tl 0.000 0.000 0.000
Ga 0.250 0.750 0.500
P 0.354 0.354 0.292
Ga 0.750 0.250 0.500
P 0.646 0.646 0.708

Calculated values
Energy above the lowest structure with this stoichiometry   0 meV/atom
Size of the total moment   0.0000 μB per atom
Calculated formation energy   -29 meV/atom
Symmetry   I4/mmm (139)

No. 12
Here is crystalline MgSiW at its relaxed geometry from Alexandria. Energies are from PBE.

abc: 4.396 4.396 19.233
angles: 90.00 90.00 120.00
Sites, in units of the cell vectors:
Mg 0.000 0.000 0.215
W 0.667 0.333 0.692
Mg 0.667 0.333 0.548
Si 0.000 0.000 0.500
W 0.667 0.333 0.975
Si 0.000 0.000 0.000
Mg 0.333 0.667 0.452
Si 0.667 0.333 0.833
Mg 0.667 0.333 0.118
Si 0.333 0.667 0.667
Mg 0.000 0.000 0.785
W 0.000 0.000 0.641
W 0.000 0.000 0.359
Mg 0.333 0.667 0.882
Si 0.333 0.667 0.167
Si 0.667 0.333 0.333
W 0.333 0.667 0.025
W 0.333 0.667 0.308

Calculated values
Formation energy from raw total energies   0.07 eV/atom
Size of the total moment   0.0000 μB per atom
Symmetry   R-3m (166)